VASP calculation (PBE) on a geometry-optimized TcHg4Rh structure.

```
TcHg4Rh
1.0
0.000 3.959 3.959
3.959 0.000 3.959
3.959 3.959 0.000
Tc Hg Rh
1 4 1
Direct
0.000 0.000 0.000 Tc
0.875 0.375 0.375 Hg
0.375 0.375 0.875 Hg
0.375 0.875 0.375 Hg
0.375 0.375 0.375 Hg
0.750 0.750 0.750 Rh
```

Calculated values
- calculated formation energy (eV/atom) = 0.846
- calculated volume (Å³ per cell) = 124.11

VASP calculation (PBE) on a geometry-optimized InMo2Br structure.

```
InMo2Br
1.0
4.765 -0.003 0.000
0.003 4.765 0.000
0.000 0.000 3.157
Mo Br In
2 1 1
Direct
0.000 0.000 0.000 Mo
0.500 0.500 0.000 Mo
0.500 0.000 0.500 Br
0.000 0.500 0.500 In
```

Calculated values
- offset from the most stable computed form (eV/atom) = 0.6590
- formation energy (no corrections) (eV per formula unit) = 3.7
- calculated volume (Å³ per cell) = 71.70

VASP calculation (PBE) on a geometry-optimized LaZrCu structure.

```
LaZrCu
1.0
5.437 0.000 0.001
0.000 4.361 0.000
0.001 -0.002 6.298
Zr Cu La
2 2 2
Direct
0.552 0.216 0.745 Zr
0.052 0.216 0.556 Zr
0.824 0.717 0.791 Cu
0.280 0.717 0.790 Cu
0.053 0.216 0.087 La
0.553 0.716 0.299 La
```

Calculated values
- calculated formation energy (eV/atom) = 0.078
- offset from the most stable computed form (eV/atom) = 0.1277
- calculated volume (Å³ per cell) = 149.32

VASP calculation (PBE) on a geometry-optimized Y2Zn3Au5 structure.

```
Y2Zn3Au5
1.0
5.683 0.000 0.000
2.841 8.474 0.408
2.841 1.710 8.310
Y Zn Au
4 6 10
Direct
0.147 0.572 0.133 Y
0.647 0.133 0.572 Y
0.853 0.428 0.867 Y
0.353 0.867 0.428 Y
0.347 0.567 0.739 Zn
0.847 0.739 0.567 Zn
0.653 0.433 0.261 Zn
0.153 0.261 0.433 Zn
0.250 0.000 0.000 Zn
0.750 0.000 0.000 Zn
0.426 0.268 0.881 Au
0.926 0.881 0.268 Au
0.574 0.732 0.119 Au
0.074 0.119 0.732 Au
0.450 0.800 0.800 Au
0.550 0.200 0.200 Au
0.750 0.500 0.500 Au
0.250 0.500 0.500 Au
0.050 0.200 0.200 Au
0.950 0.800 0.800 Au
```

Calculated values
- calculated formation energy (eV/atom) = -0.509
- offset from the most stable computed form (eV/atom) = 0.0427
- calculated volume (Å³ per cell) = 396.26

VASP calculation (PBE) on a geometry-optimized Hg2P2C structure.

```
Hg2P2C
1.0
-3.692 -2.283 -3.562
-0.017 -4.719 3.042
-4.272 2.031 3.127
P C Hg
4 2 4
Direct
0.188 0.688 0.000 P
0.688 0.812 0.000 P
0.812 0.312 0.000 P
0.312 0.188 0.000 P
0.000 0.000 0.000 C
0.500 0.500 0.000 C
0.187 0.687 0.500 Hg
0.687 0.813 0.500 Hg
0.813 0.313 0.500 Hg
0.313 0.187 0.500 Hg
```

Calculated values
- calculated formation energy (eV/atom) = 0.936
- offset from the most stable computed form (eV/atom) = 0.4383
- calculated volume (Å³ per cell) = 178.79

VASP calculation (PBE) on a geometry-optimized K2SeCl2F4 structure.

```
K2SeCl2F4
1.0
-1.797 5.564 -2.651
-1.511 -5.448 -3.043
-2.871 -1.846 5.438
K Se Cl F
2 1 2 4
Direct
0.500 0.750 0.250 K
0.500 0.250 0.750 K
0.000 0.000 0.000 Se
0.000 0.724 0.724 Cl
0.000 0.276 0.276 Cl
0.000 0.790 0.210 F
0.580 0.790 0.790 F
0.000 0.210 0.790 F
0.420 0.210 0.210 F
```

Calculated values
- formation energy (no corrections) (eV per formula unit) = -16.7
- calculated volume (Å³ per cell) = 191.71

Which value of calculated volume does entry 6 give? 191.71 Å³ per cell

Which value of calculated volume does entry 3 give? 149.32 Å³ per cell

Which value of calculated volume does entry 5 give? 178.79 Å³ per cell